The following is a DFT calculation (GGA-PBE) of crystalline NaSm2Sc3Se6 at its relaxed geometry.

Lattice parameters (Å, degrees): 3.981 8.127 9.029 104.01 102.74 90.00
Fractional coordinates of all 12 atoms:
Na  0.500  0.000  0.000
Sm  0.832  0.662  0.663
Sm  0.168  0.338  0.337
Sc  0.500  0.500  0.000
Sc  0.834  0.177  0.667
Sc  0.166  0.823  0.333
Se  0.329  0.932  0.658
Se  0.660  0.595  0.320
Se  0.671  0.068  0.342
Se  0.996  0.261  0.991
Se  0.004  0.739  0.009
Se  0.340  0.405  0.680

Summary:
Density of states at the Fermi level: 4.39 states/eV/cell
Formation energy (no corrections): -1669.6 meV/atom
Total energy: -0.4330 Ry/atom
Crystal system: monoclinic
Magnetic moment: 0.000 μB/atom